VTcIr | PBE | relaxed

E above lowest polymorph (meV/atom): 51.0

Structure (CIF):
```
data_VTcIr
_chemical_formula_sum 'V2 Tc2 Ir2'
_cell_length_a 4.2736
_cell_length_b 4.2736
_cell_length_c 5.3901
_cell_angle_alpha 90.00
_cell_angle_beta 90.00
_cell_angle_gamma 120.00
_symmetry_space_group_name_H-M 'P 3 m 1'
_symmetry_Int_Tables_number 156
loop_
_symmetry_equiv_pos_as_xyz
'x,y,z'
'-y,x-y,z'
'-x+y,-x,z'
'-y,-x,z'
'-x+y,y,z'
'x,x-y,z'
loop_
_atom_site_label
_atom_site_fract_x
_atom_site_fract_y
_atom_site_fract_z
_atom_site_occupancy
V1 0.0000 0.0000 0.0000 1
V2 0.3333 0.6667 0.4938 1
Tc1 0.3333 0.6667 0.9795 1
Tc2 0.6667 0.3333 0.7438 1
Ir1 0.0000 0.0000 0.4962 1
Ir2 0.6667 0.3333 0.2465 1
```

---

YTaNiAg2 | PBE | relaxed

Structure (CIF):
```
data_YTaNiAg2
_chemical_formula_sum 'Y1 Ta1 Ni1 Ag2'
_cell_length_a 5.0758
_cell_length_b 5.0758
_cell_length_c 5.3562
_cell_angle_alpha 90.00
_cell_angle_beta 90.00
_cell_angle_gamma 90.00
_symmetry_space_group_name_H-M 'P 4/m m m'
_symmetry_Int_Tables_number 123
_symmetry_space_group_name_Hall '-P 4 2'
loop_
_atom_site_label
_atom_site_fract_x
_atom_site_fract_y
_atom_site_fract_z
_atom_site_occupancy
Y1 0.0000 0.0000 0.0000 1
Ta1 0.0000 0.0000 0.5000 1
Ni1 0.5000 0.5000 0.0000 1
Ag1 0.0000 0.5000 0.5000 1
```

---

Number 1: theoretical density 13.29 g/cm³, calculated total energy -9.6859 eV per atom, ΔH_f (0 K) -0.24 eV/atom. Number 2: theoretical density 6.55 g/cm³, calculated total energy -4.3814 eV per atom, ΔH_f (0 K) 1.58 eV/atom.